YPa4Tc5 | GGA-PBE | optimized geometry

Cell lengths 3.4487, 3.4487, 17.2390 Å; angles 90.00, 90.00, 90.00 degrees
Last column: nearest neighbours and their distance in Å.
Space group P4/mmm (No. 123)
Inequivalent atoms, fractional coordinates:
Y: 0.0000 0.0000 0.0000 (multiplicity 1)  8 Tc 3.16, 2 Pa 3.44, 4 Y 3.45
Pa: 0.0000 0.0000 0.1993 (multiplicity 2)  8 Tc 2.82-2.99
Pa: 0.0000 0.0000 0.4011 (multiplicity 2)  8 Tc 2.98-3.00
Tc: 0.5000 0.5000 0.1169 (multiplicity 2)  4 Pa 2.82, 1 Tc 3.16
Tc: 0.5000 0.5000 0.3000 (multiplicity 2)  8 Pa 2.99-3.00, 1 Tc 3.16
Tc: 0.5000 0.5000 0.5000 (multiplicity 1)  8 Pa 2.98

Values from the calculation:
**D(E_F)**: 9.3 states/eV/cell
**Size of the total moment**: 0.00 μB per cell
**Calculated total energy**: -9.8133 eV/atom